(1)
## CePrHgTe (PBE)

Data for a geometry-optimized CePrHgTe structure.

POSCAR file:
```
CePrHgTe
1.0
4.497 0.000 0.000
0.000 4.497 0.000
0.000 0.000 6.387
Ce Pr Hg Te
1 1 1 1
Direct
0.000 0.000 0.000
0.500 0.500 0.500
0.500 0.500 0.000
0.000 0.000 0.500
```

Computed properties:
total magnetic moment: 0.25 μB per atom
ρ: 7.8 g/cm³
space-group type: P4/mmm (123)
density of states at the Fermi level: 9.14 states/eV/f.u.
ΔE_f (raw): -18.7 kcal/mol of atoms

(2)
## CePrTm2Hg4 (PBE)

Data for a geometry-optimized CePrTm2Hg4 structure.

POSCAR file:
```
CePrTm2Hg4
1.0
2.666 1.539 8.714
-2.666 1.539 8.714
0.000 -3.079 8.714
Ce Pr Tm Hg
1 1 2 4
Direct
0.000 0.000 0.000
0.500 0.500 0.500
0.251 0.251 0.251
0.749 0.749 0.749
0.124 0.124 0.124
0.374 0.374 0.374
0.626 0.626 0.626
0.876 0.876 0.876
```

Computed properties:
total magnetic moment: 0.22 μB per atom
ρ: 11.0 g/cm³
energy of formation: -411 meV per atom
space-group type: R-3m (166)
density of states at the Fermi level: 15.09 states/eV/f.u.

(3)
## Ce2HgPt9 (PBE)

Data for a geometry-optimized Ce2HgPt9 structure.

POSCAR file:
```
Ce2HgPt9
1.0
4.148 0.000 0.000
0.000 4.148 0.000
0.000 0.000 12.366
Ce Hg Pt
2 1 9
Direct
0.000 0.000 0.171
0.000 0.000 0.829
0.000 0.000 0.500
0.000 0.500 0.000
0.000 0.500 0.334
0.000 0.500 0.666
0.500 0.000 0.000
0.500 0.000 0.334
0.500 0.000 0.666
0.500 0.500 0.168
0.500 0.500 0.500
0.500 0.500 0.832
```

Computed properties:
total magnetic moment: 0.00 μB per atom
excess energy over the best structure of this formula in the dataset: 0 meV/atom
ρ: 17.5 g/cm³
energy of formation: -665 meV per atom
space-group type: P4/mmm (123)
density of states at the Fermi level: 8.49 states/eV/f.u.

(4)
## Ce6HgPt (PBE)

Data for a geometry-optimized Ce6HgPt structure.

POSCAR file:
```
Ce6HgPt
1.0
3.920 -4.839 0.000
3.920 4.839 0.000
-2.016 0.000 6.050
Ce Hg Pt
6 1 1
Direct
0.091 0.664 0.689
0.321 0.321 0.895
0.336 0.909 0.311
0.664 0.091 0.689
0.679 0.679 0.105
0.909 0.336 0.311
0.500 0.500 0.500
0.000 0.000 0.000
```

Computed properties:
total magnetic moment: 0.42 μB per atom
ρ: 8.9 g/cm³
energy of formation: -177 meV per atom
space-group type: C2/m (12)
density of states at the Fermi level: 24.79 states/eV/f.u.

(5)
## Ce5Hg2Pt (PBE)

Data for a geometry-optimized Ce5Hg2Pt structure.

POSCAR file:
```
Ce5Hg2Pt
1.0
-3.850 3.850 3.451
3.850 -3.850 3.451
3.850 3.850 -3.451
Ce Hg Pt
5 2 1
Direct
0.000 0.000 0.000
0.099 0.099 0.496
0.099 0.604 0.000
0.604 0.099 0.000
0.604 0.604 0.504
0.102 0.602 0.500
0.602 0.102 0.500
0.496 0.496 0.000
```

Computed properties:
total magnetic moment: 0.35 μB per atom
excess energy over the best structure of this formula in the dataset: 34 meV/atom
ρ: 10.5 g/cm³
energy of formation: -354 meV per atom
space-group type: I4mm (107)
density of states at the Fermi level: 20.68 states/eV/f.u.

(6)
## Ce8HgPt2 (PBE)

Data for a geometry-optimized Ce8HgPt2 structure.

POSCAR file:
```
Ce8HgPt2
1.0
4.127 -6.709 0.000
4.127 6.709 0.000
-1.542 0.000 5.300
Ce Hg Pt
8 1 2
Direct
0.080 0.286 0.570
0.247 0.753 0.000
0.286 0.080 0.570
0.409 0.409 0.174
0.591 0.591 0.826
0.714 0.920 0.430
0.753 0.247 0.000
0.920 0.714 0.430
0.000 0.000 0.000
0.306 0.694 0.500
0.694 0.306 0.500
```

Computed properties:
total magnetic moment: 0.34 μB per atom
ρ: 9.7 g/cm³
energy of formation: -373 meV per atom
space-group type: C2/m (12)
density of states at the Fermi level: 32.72 states/eV/f.u.

(7)
## Ce4HgPt2 (PBE)

Data for a geometry-optimized Ce4HgPt2 structure.

POSCAR file:
```
Ce4HgPt2
1.0
2.103 1.214 12.699
-2.103 1.214 12.699
0.000 -2.428 12.699
Ce Hg Pt
4 1 2
Direct
0.108 0.108 0.108
0.307 0.307 0.307
0.693 0.693 0.693
0.892 0.892 0.892
0.500 0.500 0.500
0.400 0.400 0.400
0.600 0.600 0.600
```

Computed properties:
total magnetic moment: 0.52 μB per atom
ρ: 9.8 g/cm³
energy of formation: -599 meV per atom
space-group type: R-3m (166)
density of states at the Fermi level: 23.23 states/eV/f.u.

(8)
## Ce2HgPt (PBE)

Data for a geometry-optimized Ce2HgPt structure.

POSCAR file:
```
Ce2HgPt
1.0
2.031 1.173 8.016
-2.031 1.173 8.016
0.000 -2.346 8.016
Ce Hg Pt
2 1 1
Direct
0.237 0.237 0.237
0.763 0.763 0.763
0.000 0.000 0.000
0.500 0.500 0.500
```

Computed properties:
total magnetic moment: 0.50 μB per atom
excess energy over the best structure of this formula in the dataset: 43 meV/atom
ρ: 9.8 g/cm³
energy of formation: -613 meV per atom
space-group type: R-3m (166)
density of states at the Fermi level: 13.36 states/eV/f.u.

(9)
## Ce2HgPt (PBE)

Data for a geometry-optimized Ce2HgPt structure.

POSCAR file:
```
Ce2HgPt
1.0
3.776 0.000 0.000
0.000 3.776 0.000
0.000 0.000 6.984
Ce Hg Pt
2 1 1
Direct
0.000 0.000 0.213
0.000 0.000 0.787
0.500 0.500 0.500
0.500 0.500 0.000
```

Computed properties:
total magnetic moment: 0.37 μB per atom
excess energy over the best structure of this formula in the dataset: 0 meV/atom
ρ: 11.3 g/cm³
energy of formation: -655 meV per atom
space-group type: P4/mmm (123)
density of states at the Fermi level: 9.42 states/eV/f.u.

(10)
## Ce5HgPt2 (PBE)

Data for a geometry-optimized Ce5HgPt2 structure.

POSCAR file:
```
Ce5HgPt2
1.0
2.328 -5.286 0.000
2.328 5.286 0.000
0.000 0.000 16.488
Ce Hg Pt
10 2 4
Direct
0.074 0.926 0.569
0.074 0.926 0.931
0.279 0.721 0.250
0.414 0.586 0.605
0.414 0.586 0.895
0.586 0.414 0.105
0.586 0.414 0.395
0.721 0.279 0.750
0.926 0.074 0.069
0.926 0.074 0.431
0.015 0.985 0.750
0.985 0.015 0.250
0.256 0.744 0.071
0.256 0.744 0.429
0.744 0.256 0.571
0.744 0.256 0.929
```

Computed properties:
total magnetic moment: 0.20 μB per atom
ρ: 10.6 g/cm³
energy of formation: -583 meV per atom
space-group type: Cmcm (63)
density of states at the Fermi level: 19.57 states/eV/f.u.

(11)
## CeHg2Pt (PBE)

Data for a geometry-optimized CeHg2Pt structure.

POSCAR file:
```
CeHg2Pt
1.0
1.547 0.893 11.017
-1.547 0.893 11.017
0.000 -1.786 11.017
Ce Hg Pt
1 2 1
Direct
0.000 0.000 0.000
0.097 0.097 0.097
0.903 0.903 0.903
0.500 0.500 0.500
```

Computed properties:
total magnetic moment: 0.22 μB per atom
ρ: 13.4 g/cm³
energy of formation: 198 meV per atom
space-group type: R-3m (166)
density of states at the Fermi level: 5.99 states/eV/f.u.

(12)
## Ce6Hg5Pt (PBE)

Data for a geometry-optimized Ce6Hg5Pt structure.

POSCAR file:
```
Ce6Hg5Pt
1.0
8.279 -3.884 0.000
8.279 3.884 0.000
-1.625 0.000 4.998
Ce Hg Pt
6 5 1
Direct
0.079 0.617 0.345
0.222 0.778 0.000
0.383 0.921 0.655
0.617 0.079 0.345
0.778 0.222 0.000
0.921 0.383 0.655
0.190 0.190 0.192
0.333 0.333 0.830
0.500 0.500 0.500
0.667 0.667 0.170
0.810 0.810 0.808
0.000 0.000 0.500
```

Computed properties:
total magnetic moment: 0.51 μB per atom
ρ: 10.5 g/cm³
energy of formation: -415 meV per atom
space-group type: C2/m (12)
density of states at the Fermi level: 40.62 states/eV/f.u.

(13)
## Ce5HgPt3 (PBE)

Data for a geometry-optimized Ce5HgPt3 structure.

POSCAR file:
```
Ce5HgPt3
1.0
9.252 0.000 0.000
-4.626 8.013 0.000
0.000 0.000 5.736
Ce Hg Pt
10 2 6
Direct
0.000 0.325 0.250
0.000 0.675 0.750
0.325 0.000 0.250
0.325 0.325 0.750
0.333 0.667 0.000
0.333 0.667 0.500
0.667 0.333 0.000
0.667 0.333 0.500
0.675 0.000 0.750
0.675 0.675 0.250
0.000 0.000 0.000
0.000 0.000 0.500
0.000 0.345 0.750
0.000 0.655 0.250
0.345 0.000 0.750
0.345 0.345 0.250
0.655 0.000 0.250
0.655 0.655 0.750
```

Computed properties:
total magnetic moment: 0.52 μB per atom
ρ: 11.6 g/cm³
energy of formation: -687 meV per atom
space-group type: P6_3/mcm (193)
density of states at the Fermi level: 19.05 states/eV/f.u.

(14)
## Ce2HgPt (PBE)

Data for a geometry-optimized Ce2HgPt structure.

POSCAR file:
```
Ce2HgPt
1.0
0.000 3.684 3.684
3.684 0.000 3.684
3.684 3.684 0.000
Ce Hg Pt
2 1 1
Direct
0.250 0.250 0.250
0.750 0.750 0.750
0.000 0.000 0.000
0.500 0.500 0.500
```

Computed properties:
total magnetic moment: 0.45 μB per atom
excess energy over the best structure of this formula in the dataset: 80 meV/atom
ρ: 11.2 g/cm³
energy of formation: -575 meV per atom
space-group type: Fm-3m (225)
density of states at the Fermi level: 12.65 states/eV/f.u.

(15)
## Ce3Hg2Pt (PBE)

Data for a geometry-optimized Ce3Hg2Pt structure.

POSCAR file:
```
Ce3Hg2Pt
1.0
-1.943 3.058 7.424
1.943 -3.058 7.424
1.943 3.058 -7.424
Ce Hg Pt
3 2 1
Direct
0.000 0.000 0.000
0.362 0.362 0.000
0.638 0.638 0.000
0.187 0.687 0.500
0.813 0.313 0.500
0.500 0.000 0.500
```

Computed properties:
total magnetic moment: 0.62 μB per atom
ρ: 9.6 g/cm³
energy of formation: -426 meV per atom
space-group type: Immm (71)
density of states at the Fermi level: 19.50 states/eV/f.u.

(16)
## CeHgPt2 (PBE)

Data for a geometry-optimized CeHgPt2 structure.

POSCAR file:
```
CeHgPt2
1.0
3.528 0.000 0.000
0.000 3.528 0.000
0.000 0.000 6.614
Ce Hg Pt
1 1 2
Direct
0.000 0.000 0.000
0.000 0.000 0.500
0.500 0.500 0.259
0.500 0.500 0.741
```

Computed properties:
total magnetic moment: 0.00 μB per atom
ρ: 14.7 g/cm³
energy of formation: -617 meV per atom
space-group type: P4/mmm (123)
density of states at the Fermi level: 2.89 states/eV/f.u.

(17)
## Ce5Hg3Pt12 (PBE)

Data for a geometry-optimized Ce5Hg3Pt12 structure.

POSCAR file:
```
Ce5Hg3Pt12
1.0
-7.947 7.947 7.947
7.947 -7.947 7.947
7.947 7.947 -7.947
Ce Hg Pt
20 12 48
Direct
0.000 0.000 0.000
0.000 0.000 0.500
0.000 0.500 0.000
0.000 0.500 0.500
0.125 0.750 0.875
0.125 0.875 0.250
0.250 0.125 0.875
0.250 0.625 0.375
0.375 0.250 0.625
0.375 0.625 0.750
0.500 0.000 0.000
0.500 0.000 0.500
0.500 0.500 0.000
0.500 0.500 0.500
0.625 0.375 0.250
0.625 0.750 0.375
0.750 0.375 0.625
0.750 0.875 0.125
0.875 0.125 0.750
0.875 0.250 0.125
0.125 0.250 0.375
0.125 0.375 0.750
0.250 0.375 0.125
0.250 0.875 0.625
0.375 0.125 0.250
0.375 0.750 0.125
0.625 0.250 0.875
0.625 0.875 0.750
0.750 0.125 0.375
0.750 0.625 0.875
0.875 0.625 0.250
0.875 0.750 0.625
0.069 0.232 0.146
0.069 0.337 0.924
0.076 0.646 0.413
0.076 0.931 0.663
0.087 0.732 0.663
0.087 0.854 0.424
0.146 0.069 0.232
0.146 0.576 0.913
0.163 0.232 0.587
0.163 0.431 0.576
0.232 0.146 0.069
0.232 0.587 0.163
0.268 0.337 0.913
0.268 0.431 0.354
0.337 0.913 0.268
0.337 0.924 0.069
0.354 0.268 0.431
0.354 0.587 0.924
0.413 0.076 0.646
0.413 0.837 0.768
0.424 0.087 0.854
0.424 0.837 0.569
0.431 0.354 0.268
0.431 0.576 0.163
0.569 0.424 0.837
0.569 0.646 0.732
0.576 0.163 0.431
0.576 0.913 0.146
0.587 0.163 0.232
0.587 0.924 0.354
0.646 0.413 0.076
0.646 0.732 0.569
0.663 0.076 0.931
0.663 0.087 0.732
0.732 0.569 0.646
0.732 0.663 0.087
0.768 0.413 0.837
0.768 0.854 0.931
0.837 0.569 0.424
0.837 0.768 0.413
0.854 0.424 0.087
0.854 0.931 0.768
0.913 0.146 0.576
0.913 0.268 0.337
0.924 0.069 0.337
0.924 0.354 0.587
0.931 0.663 0.076
0.931 0.768 0.854
```

Computed properties:
total magnetic moment: 0.03 μB per atom
ρ: 12.1 g/cm³
energy of formation: -245 meV per atom
space-group type: Ia-3d (230)
density of states at the Fermi level: 13.32 states/eV/f.u.

(18)
## CeHg2Pt (PBE)

Data for a geometry-optimized CeHg2Pt structure.

POSCAR file:
```
CeHg2Pt
1.0
4.246 0.000 0.000
0.000 4.245 0.000
-0.433 0.000 10.800
Ce Hg Pt
2 4 2
Direct
0.238 0.250 0.383
0.762 0.750 0.617
0.205 0.750 0.135
0.294 0.750 0.865
0.706 0.250 0.135
0.795 0.250 0.865
0.264 0.250 0.648
0.736 0.750 0.352
```

Computed properties:
total magnetic moment: 0.14 μB per atom
ρ: 12.6 g/cm³
energy of formation: -528 meV per atom
space-group type: P2_1/m (11)
density of states at the Fermi level: 5.61 states/eV/f.u.

(19)
## Ce12HgPt6 (PBE)

Data for a geometry-optimized Ce12HgPt6 structure.

POSCAR file:
```
Ce12HgPt6
1.0
6.332 3.656 4.085
-6.332 3.656 4.085
0.000 -7.311 4.085
Ce Hg Pt
12 1 6
Direct
0.042 0.647 0.946
0.054 0.958 0.353
0.184 0.421 0.582
0.353 0.054 0.958
0.418 0.816 0.579
0.421 0.582 0.184
0.579 0.418 0.816
0.582 0.184 0.421
0.647 0.946 0.042
0.816 0.579 0.418
0.946 0.042 0.647
0.958 0.353 0.054
0.000 0.000 0.000
0.133 0.624 0.322
0.322 0.133 0.624
0.376 0.678 0.867
0.624 0.322 0.133
0.678 0.867 0.376
0.867 0.376 0.678
```

Computed properties:
total magnetic moment: 0.58 μB per atom
ρ: 8.9 g/cm³
energy of formation: -521 meV per atom
space-group type: R-3 (148)
density of states at the Fermi level: 65.44 states/eV/f.u.

(20)
## Ce5Hg2Pt (PBE)

Data for a geometry-optimized Ce5Hg2Pt structure.

POSCAR file:
```
Ce5Hg2Pt
1.0
6.376 0.000 0.000
0.000 12.313 0.000
0.000 0.000 5.432
Ce Hg Pt
10 4 2
Direct
0.000 0.000 0.000
0.126 0.273 0.000
0.142 0.588 0.500
0.358 0.088 0.500
0.374 0.773 0.000
0.500 0.500 0.000
0.626 0.227 0.000
0.642 0.912 0.500
0.858 0.412 0.500
0.874 0.727 0.000
0.119 0.847 0.500
0.381 0.347 0.500
0.619 0.653 0.500
0.881 0.153 0.500
0.000 0.500 0.000
0.500 0.000 0.000
```

Computed properties:
total magnetic moment: 0.72 μB per atom
excess energy over the best structure of this formula in the dataset: 0 meV/atom
ρ: 10.1 g/cm³
energy of formation: -387 meV per atom
space-group type: Pbam (55)
density of states at the Fermi level: 23.51 states/eV/f.u.